Model A:
A plane-wave DFT calculation with PBE was carried out for a relaxed YPbF3 crystal.

Summary:
The value obtained for the volume is 18.809 Å³ per atom. Its theoretical density is 6235 kg/m³.

Cell: 4.548 4.548 4.548 Å, 90.00 90.00 90.00°
Space group Pm-3m (No. 221)
Unique sites:
Y: 0.000 0.000 0.000 [1 per cell]
Pb: 0.500 0.500 0.500 [1 per cell]
F: 0.000 0.000 0.500 [3 per cell]



Model B:
A plane-wave DFT calculation with PBE was carried out for a relaxed YPbF3 crystal.

Summary:
The value obtained for the volume is 22.145 Å³ per atom. Its theoretical density is 5295 kg/m³.

Cell: 4.802 4.802 4.802 Å, 90.00 90.00 90.00°
Space group Pm-3m (No. 221)
Unique sites:
Y: 0.000 0.000 0.000 [1 per cell]
Pb: 0.500 0.500 0.500 [1 per cell]
F: 0.000 0.500 0.500 [3 per cell]



Stability summary - winner: model A; margin: 1.039 eV/atom.